DFT (GGA-PBE) results for Li2In6Sn after structural relaxation.

E_tot = -2.796 eV per atom
energy of formation from the pure elements = -0.1007 eV per atom
excess energy over the best structure of this formula in the dataset = 0.005 eV per atom

Lattice parameters (Å, degrees): 14.5413 3.2185 10.5854 90.00 117.30 90.00
Last column: nearest neighbours and their distance in Å.
Space group C2/m (No. 12)
Asymmetric unit:
Li (0.1318, 0.0000, 0.2529) (multiplicity 4)  2 Sn 2.95, 7 In 2.98-3.14, 2 Li 3.22
In (0.0327, 0.5000, 0.7024) (multiplicity 4)  2 Li 3.09, 8 In 3.22-3.43, 1 Sn 3.39
In (0.1670, 0.0000, 0.5532) (multiplicity 4)  3 Li 2.98-3.14, 3 In 3.11-3.22
In (0.2395, 0.5000, 0.1176) (multiplicity 4)  2 Li 3.03, 7 In 3.10-3.38, 1 Sn 3.11
Sn (0.0000, 0.5000, 0.0000) (multiplicity 2)  4 Li 2.95, 2 In 3.11, 2 Sn 3.22

DFT (GGA-PBE) results for LiIn3Sn3 after structural relaxation.

E_tot = -2.912 eV per atom
energy of formation from the pure elements = 0.2508 eV per atom
excess energy over the best structure of this formula in the dataset = 0.177 eV per atom

Lattice parameters (Å, degrees): 8.1383 8.1383 8.1383 90.00 90.00 90.00
Last column: nearest neighbours and their distance in Å.
Space group Pm-3n (No. 223)
Asymmetric unit:
Li (0.0000, 0.0000, 0.0000) (multiplicity 2)  12 In 4.55, 12 Sn 4.55
In (0.0000, 0.2500, 0.5000) (multiplicity 6)  4 Sn 2.88
Sn (0.0000, 0.5000, 0.2500) (multiplicity 6)  4 In 2.88

DFT (GGA-PBE) results for Li2In4Sn3 after structural relaxation.

E_tot = -3.081 eV per atom
energy of formation from the pure elements = -0.1040 eV per atom

Lattice parameters (Å, degrees): 15.3212 10.8500 5.4253 90.00 100.21 90.00
Last column: nearest neighbours and their distance in Å.
Space group C2/c (No. 15)
Asymmetric unit:
Li (0.1041, 0.1363, 0.3202) (multiplicity 8)  5 Sn 3.00-3.24, 4 In 3.05-3.15, 1 Li 3.14
In (0.0588, 0.3734, 0.0214) (multiplicity 8)  1 Li 3.05, 3 In 3.17-3.31, 4 Sn 3.27-3.37
In (0.2066, 0.1165, 0.8714) (multiplicity 8)  5 Sn 3.12-3.19, 3 Li 3.13-3.15, 1 In 3.38
Sn (0.0000, 0.0988, 0.7500) (multiplicity 4)  6 Li 3.00-3.24, 2 In 3.12
Sn (0.1839, 0.3704, 0.5767) (multiplicity 8)  2 Li 3.05-3.20, 7 In 3.14-3.36